A geometry-optimized Pm2SmSnC structure. Source: Alexandria via LeMat-Bulk, functional PBE.

a = 5.0334 Å, b = 5.0618 Å, c = 5.0618 Å
α = 90.00°, β = 90.00°, γ = 90.00°
Element x y z (fractional)
Pm 0.0000 0.0000 0.5000
Pm 0.0000 0.5000 0.0000
Sm 0.5000 0.0000 0.0000
Sn 0.5000 0.5000 0.5000
C 0.0000 0.0000 0.0000

## Properties
total energy: -30.04 eV/cell
space-group type: P4/mmm
ΔE_f: -518 meV/atom
V: 129 Å³ per cell
D(E_F): 2.50 states/eV/cell